Here is crystalline DyHoCo2Sn4 at its relaxed geometry from OQMD via LeMat-Bulk. Energies are from PBE.

abc: 4.4419 4.3340 18.3599
angles: 90.00 90.00 90.00
Space group Amm2 (No. 38)
One atom of each set of equivalent atoms:
Dy 0.0000 0.0000 0.0000 (multiplicity 2)
Ho 0.5000 0.0000 0.2283 (multiplicity 2)
Co 0.0000 0.0000 0.7933 (multiplicity 2)
Co 0.5000 0.0000 0.4347 (multiplicity 2)
Sn 0.0000 0.0000 0.3656 (multiplicity 2)
Sn 0.0000 0.0000 0.6620 (multiplicity 2)
Sn 0.5000 0.0000 0.5662 (multiplicity 2)
Sn 0.5000 0.0000 0.8624 (multiplicity 2)

Results
volume = 353.4 Å³/cell
magnetic moment = 0.01 μB/f.u.
final energy = -5.30 eV/atom